PrGd2Tm3Te2Os: optimized geometry, PBE-GGA. Values from VASP.

Results
Space group   Amm2 (38)

Geometry as Quantum ESPRESSO input:
```
&SYSTEM
  ibrav = 0, nat = 9, ntyp = 5
/
ATOMIC_SPECIES
Pr 140.91 Pr.upf
Gd 157.25 Gd.upf
Tm 168.93 Tm.upf
Te 127.60 Te.upf
Os 190.23 Os.upf
ATOMIC_POSITIONS crystal
Pr 0.000 0.000 0.000
Gd 0.000 0.404 0.794
Gd 0.000 0.794 0.404
Tm 0.500 0.171 0.400
Tm 0.500 0.400 0.171
Tm 0.500 0.642 0.642
Te 0.500 0.072 0.731
Te 0.500 0.731 0.072
Os 0.000 0.419 0.419
CELL_PARAMETERS angstrom
4.084 0.000 0.000
0.000 7.166 4.182
0.000 -7.166 4.182
```

=====

YAgF3: optimized geometry, PBE-GGA. Values from VASP.

Results
Space group   P4mm (99)

Geometry as Quantum ESPRESSO input:
```
&SYSTEM
  ibrav = 0, nat = 5, ntyp = 3
/
ATOMIC_SPECIES
Y 88.91 Y.upf
Ag 107.87 Ag.upf
F 19.00 F.upf
ATOMIC_POSITIONS crystal
Y 0.000 0.000 0.000
Ag 0.500 0.500 0.511
F 0.000 0.000 0.503
F 0.000 0.500 0.028
F 0.500 0.000 0.028
CELL_PARAMETERS angstrom
4.357 0.000 0.000
0.000 4.357 0.000
0.000 0.000 4.381
```

=====

Q: Which raw total energy values were calculated for the entries above? A: -51.9 -28.7, in eV/cell.